Record 1
NaTiO2F: optimized geometry, PBE-GGA.

Cell: 3.961 3.961 3.689 Å, 90.00 90.00 90.00°
Atoms (fractional coordinates):
Na (0.000, 0.000, 0.000)
F (0.000, 0.000, 0.500)
O (0.000, 0.500, 0.000)
O (0.500, 0.000, 0.000)
Ti (0.500, 0.500, 0.500)

Summary:
Calculated density (g cm⁻³): 3.50
Calculated volume (Å³ per atom): 11.6
Formation energy from raw total energies (meV/atom): -708

***

Record 2
LaNiRu2: optimized geometry, PBE-GGA.

Cell: 4.268 4.268 5.660 Å, 67.85 67.85 59.99°
Atoms (fractional coordinates):
La (0.499, 0.499, 0.504)
Ni (0.702, 0.702, 0.894)
Ru (0.989, 0.989, 0.032)
Ru (0.310, 0.310, 0.069)

Summary:
Calculated density (g cm⁻³): 8.26
Calculated volume (Å³ per atom): 20.1
Energy of formation (meV/atom): -66
Energy above the most stable polymorph in this dataset (meV per atom): 0

***

Record 3
Ac5Pd2PtN: optimized geometry, PBE-GGA.

Cell: 4.333 9.760 13.371 Å, 90.00 90.00 102.82°
Atoms (fractional coordinates):
Ac (0.353, 0.705, 0.013)
Ac (0.675, 0.351, 0.876)
Ac (0.493, 0.986, 0.765)
Ac (0.292, 0.583, 0.687)
Ac (0.969, 0.938, 0.507)
Ac (0.647, 0.295, 0.513)
Ac (0.325, 0.649, 0.376)
Ac (0.507, 0.014, 0.265)
Ac (0.708, 0.417, 0.187)
Ac (0.031, 0.062, 0.007)
Pd (0.873, 0.745, 0.835)
Pd (0.113, 0.227, 0.684)
Pd (0.127, 0.255, 0.335)
Pd (0.887, 0.773, 0.184)
Pt (0.805, 0.609, 0.533)
Pt (0.195, 0.391, 0.033)
N (0.547, 0.094, 0.923)
N (0.453, 0.906, 0.423)

Summary:
Calculated density (g cm⁻³): 9.38
Calculated volume (Å³ per atom): 30.6
Formation energy from raw total energies (meV/atom): -844

***

Record 4
ReNiRu: optimized geometry, PBE-GGA.

Cell: 4.194 4.194 2.658 Å, 90.00 90.00 120.00°
Atoms (fractional coordinates):
Ni (0.000, 0.000, 0.166)
Re (0.667, 0.333, 0.167)
Ru (0.333, 0.667, 0.667)

Summary:
Calculated density (g cm⁻³): 14.19
Calculated volume (Å³ per atom): 13.5
Energy of formation (meV/atom): 112
Energy above the most stable polymorph in this dataset (meV per atom): 125

***

Record 5
La4Pt2Au: optimized geometry, PBE-GGA.

Cell: 8.260 8.260 8.262 Å, 109.44 109.44 109.53°
Atoms (fractional coordinates):
Au (0.250, 0.750, 0.500)
Au (0.000, 0.000, 0.000)
Pt (0.625, 0.875, 0.250)
Pt (0.625, 0.375, 0.750)
Pt (0.125, 0.375, 0.750)
Pt (0.625, 0.375, 0.250)
La (0.921, 0.610, 0.688)
La (0.329, 0.140, 0.812)
La (0.921, 0.233, 0.312)
La (0.390, 0.079, 0.312)
La (0.767, 0.079, 0.688)
La (0.329, 0.517, 0.188)
La (0.860, 0.671, 0.188)
La (0.483, 0.671, 0.812)

Summary:
Calculated density (g cm⁻³): 8.75
Calculated volume (Å³ per atom): 31.0
Energy of formation (meV/atom): -873

***

Record 6
PmHgH7Rh2: optimized geometry, PBE-GGA.

Cell: 3.661 3.661 8.907 Å, 101.86 101.86 90.00°
Atoms (fractional coordinates):
Pm (0.500, 0.500, 0.000)
Hg (0.250, 0.750, 0.500)
H (0.095, 0.595, 0.190)
H (0.000, 0.000, 0.000)
H (0.405, 0.905, 0.810)
H (0.789, 0.789, 0.578)
H (0.604, 0.104, 0.209)
H (0.211, 0.211, 0.422)
H (0.896, 0.396, 0.791)
Rh (0.892, 0.892, 0.785)
Rh (0.108, 0.108, 0.215)

Summary:
Calculated density (g cm⁻³): 8.12
Calculated volume (Å³ per atom): 10.4
Electronic total energy (eV/atom): -4.1414

***

Record 7
PaV2B: optimized geometry, PBE-GGA.

Cell: 4.259 4.259 4.260 Å, 60.00 60.00 60.00°
Atoms (fractional coordinates):
B (0.000, 0.000, 0.000)
Pa (0.500, 0.500, 0.500)
V (0.250, 0.250, 0.250)
V (0.750, 0.750, 0.750)

Summary:
Calculated density (g cm⁻³): 10.44
Calculated volume (Å³ per atom): 13.7
Energy of formation (meV/atom): 295
Energy above the most stable polymorph in this dataset (meV per atom): 260

***

Record 8
AcAl3Ge: optimized geometry, PBE-GGA.

Cell: 4.420 4.420 6.452 Å, 70.30 70.30 90.09°
Atoms (fractional coordinates):
Ac (0.404, 0.208, 0.896)
Al (0.653, 0.958, 0.399)
Al (0.154, 0.457, 0.399)
Al (0.780, 0.583, 0.144)
Ge (0.016, 0.820, 0.673)

Summary:
Calculated density (g cm⁻³): 5.71
Calculated volume (Å³ per atom): 22.2
Energy of formation (meV/atom): -350

***

Record 9
TlB2CI: optimized geometry, PBE-GGA.

Cell: 4.850 4.503 4.850 Å, 90.00 90.00 90.00°
Site moments in Bohr magnetons follow the coordinates.
Atoms (fractional coordinates):
I (0.500, 0.500, 0.500)  0.05
Tl (0.000, 0.000, 0.000)  0.01
B (0.000, 0.000, 0.500)  -0.01
B (0.500, 0.000, 0.000)  0.04
C (0.000, 0.500, 0.000)  0.69

Summary:
Calculated density (g cm⁻³): 5.72
Calculated volume (Å³ per atom): 21.2
Formation energy from raw total energies (meV/atom): 2663

***

Record 10
TiCr2SbAu: optimized geometry, PBE-GGA.

Cell: 4.562 5.012 4.562 Å, 90.00 90.00 90.00°
Site moments in Bohr magnetons follow the coordinates.
Atoms (fractional coordinates):
Sb (0.500, 0.500, 0.500)  -0.03
Ti (0.000, 0.000, 0.000)  -0.53
Au (0.000, 0.500, 0.000)  0.01
Cr (0.000, 0.000, 0.500)  2.57
Cr (0.500, 0.000, 0.000)  3.09

Summary:
Calculated density (g cm⁻³): 7.49
Calculated volume (Å³ per atom): 20.9
Formation energy from raw total energies (meV/atom): 1025

***

Record 11
La2SmTm2: optimized geometry, PBE-GGA.

Cell: 10.663 10.663 8.183 Å, 130.66 130.66 90.00°
Atoms (fractional coordinates):
La (0.891, 0.391, 0.000)
La (0.109, 0.609, 0.000)
La (0.609, 0.891, 0.000)
La (0.391, 0.109, 0.000)
Sm (0.750, 0.750, 0.500)
Sm (0.250, 0.250, 0.500)
Tm (0.310, 0.810, 0.000)
Tm (0.690, 0.190, 0.000)
Tm (0.190, 0.310, 0.000)
Tm (0.810, 0.690, 0.000)

Summary:
Calculated density (g cm⁻³): 7.04
Calculated volume (Å³ per atom): 36.1
Energy of formation (meV/atom): 477
Energy above the most stable polymorph in this dataset (meV per atom): 184

***

> Number 11 is which compound?

La2SmTm2

***

> Among the records above, which one has the highest calculated density?

ReNiRu

***

Copy entry 1 word for word.
NaTiO2F: optimized geometry, PBE-GGA.

Cell: 3.961 3.961 3.689 Å, 90.00 90.00 90.00°
Atoms (fractional coordinates):
Na (0.000, 0.000, 0.000)
F (0.000, 0.000, 0.500)
O (0.000, 0.500, 0.000)
O (0.500, 0.000, 0.000)
Ti (0.500, 0.500, 0.500)

Summary:
Calculated density (g cm⁻³): 3.50
Calculated volume (Å³ per atom): 11.6
Formation energy from raw total energies (meV/atom): -708

***

> Which of these has the highest calculated volume?

La2SmTm2